PrSmInGe | GGA-PBE | optimized geometry

Structure (POSCAR):
```
PrSmInGe
1.0
0.000 3.781 3.781
3.781 0.000 3.781
3.781 3.781 0.000
Pr Sm In Ge
1 1 1 1
Direct
0.000 0.000 0.000
0.500 0.500 0.500
0.250 0.250 0.250
0.750 0.750 0.750
```

## Properties
E, Ry/atom: -0.34581